Sc2Ga2GeIr5 | GGA-PBE | relaxed

Results
* energy of formation: -588 meV/atom
* space group: P4/mbm
* density of states at the Fermi level: 7.5 states/eV/cell
* mass density: 13.10 Mg/m³

The structure in CIF format:
```
data_Sc2Ga2GeIr5
_chemical_formula_sum 'Sc4 Ga4 Ge2 Ir10'
_symmetry_space_group_name_H-M 'P 1'
_symmetry_Int_Tables_number 1
_symmetry_space_group_name_Hall 'P 1'
_cell_length_a 9.4895
_cell_length_b 9.4895
_cell_length_c 3.5554
_cell_angle_alpha 90.00
_cell_angle_beta 90.00
_cell_angle_gamma 90.00
loop_
_atom_site_label
_atom_site_type_symbol
_atom_site_fract_x
_atom_site_fract_y
_atom_site_fract_z
_atom_site_occupancy
Sc1 Sc 0.1714 0.3286 0.0000 1
Sc2 Sc 0.3286 0.8286 0.0000 1
Sc3 Sc 0.6714 0.1714 0.0000 1
Sc4 Sc 0.8286 0.6714 0.0000 1
Ga1 Ga 0.1277 0.6277 0.0000 1
Ga2 Ga 0.3723 0.1277 0.0000 1
Ga3 Ga 0.6277 0.8723 0.0000 1
Ga4 Ga 0.8723 0.3723 0.0000 1
Ge1 Ge 0.0000 0.0000 0.0000 1
Ge2 Ge 0.5000 0.5000 0.0000 1
Ir1 Ir 0.0000 0.5000 0.5000 1
Ir2 Ir 0.0681 0.8001 0.5000 1
Ir3 Ir 0.1999 0.0681 0.5000 1
Ir4 Ir 0.3001 0.5681 0.5000 1
Ir5 Ir 0.4319 0.3001 0.5000 1
Ir6 Ir 0.5000 0.0000 0.5000 1
Ir7 Ir 0.5681 0.6999 0.5000 1
Ir8 Ir 0.6999 0.4319 0.5000 1
Ir9 Ir 0.8001 0.9319 0.5000 1
Ir10 Ir 0.9319 0.1999 0.5000 1
```

=====

Sm2Ga3GeIr4 | GGA-PBE | relaxed

Results
* energy of formation: -713 meV/atom
* space group: P-4m2
* density of states at the Fermi level: 6.6 states/eV/cell
* mass density: 11.99 Mg/m³

The structure in CIF format:
```
data_Sm2Ga3GeIr4
_chemical_formula_sum 'Sm2 Ga3 Ge1 Ir4'
_symmetry_space_group_name_H-M 'P 1'
_symmetry_Int_Tables_number 1
_symmetry_space_group_name_Hall 'P 1'
_cell_length_a 4.3185
_cell_length_b 4.3185
_cell_length_c 10.0332
_cell_angle_alpha 90.00
_cell_angle_beta 90.00
_cell_angle_gamma 90.00
loop_
_atom_site_label
_atom_site_type_symbol
_atom_site_fract_x
_atom_site_fract_y
_atom_site_fract_z
_atom_site_occupancy
Sm1 Sm 0.0000 0.5000 0.2382 1
Sm2 Sm 0.5000 0.0000 0.7618 1
Ga1 Ga 0.0000 0.5000 0.8726 1
Ga2 Ga 0.5000 0.0000 0.1274 1
Ga3 Ga 0.5000 0.5000 0.5000 1
Ge1 Ge 0.0000 0.0000 0.5000 1
Ir1 Ir 0.0000 0.0000 0.0000 1
Ir2 Ir 0.0000 0.5000 0.6263 1
Ir3 Ir 0.5000 0.0000 0.3737 1
Ir4 Ir 0.5000 0.5000 0.0000 1
```

=====

Sm2GaGe3Ir4 | GGA-PBE | relaxed

Results
* energy of formation: -773 meV/atom
* space group: P-4m2
* density of states at the Fermi level: 6.6 states/eV/cell
* mass density: 12.22 Mg/m³

The structure in CIF format:
```
data_Sm2GaGe3Ir4
_chemical_formula_sum 'Sm2 Ga1 Ge3 Ir4'
_symmetry_space_group_name_H-M 'P 1'
_symmetry_Int_Tables_number 1
_symmetry_space_group_name_Hall 'P 1'
_cell_length_a 4.2384
_cell_length_b 4.2384
_cell_length_c 10.2698
_cell_angle_alpha 90.00
_cell_angle_beta 90.00
_cell_angle_gamma 90.00
loop_
_atom_site_label
_atom_site_type_symbol
_atom_site_fract_x
_atom_site_fract_y
_atom_site_fract_z
_atom_site_occupancy
Sm1 Sm 0.0000 0.5000 0.2482 1
Sm2 Sm 0.5000 0.0000 0.7518 1
Ga1 Ga 0.5000 0.5000 0.0000 1
Ge1 Ge 0.0000 0.0000 0.0000 1
Ge2 Ge 0.0000 0.5000 0.6311 1
Ge3 Ge 0.5000 0.0000 0.3689 1
Ir1 Ir 0.0000 0.0000 0.5000 1
Ir2 Ir 0.0000 0.5000 0.8680 1
Ir3 Ir 0.5000 0.0000 0.1320 1
Ir4 Ir 0.5000 0.5000 0.5000 1
```

=====

SrGa2GeIr | GGA-PBE | relaxed

Results
* energy of formation: -414 meV/atom
* space group: Imm2
* density of states at the Fermi level: 1.9 states/eV/cell
* mass density: 8.17 Mg/m³

The structure in CIF format:
```
data_SrGa2GeIr
_chemical_formula_sum 'Sr1 Ga2 Ge1 Ir1'
_symmetry_space_group_name_H-M 'P 1'
_symmetry_Int_Tables_number 1
_symmetry_space_group_name_Hall 'P 1'
_cell_length_a 6.4203
_cell_length_b 6.4203
_cell_length_c 6.4203
_cell_angle_alpha 142.03
_cell_angle_beta 141.78
_cell_angle_gamma 54.97
loop_
_atom_site_label
_atom_site_type_symbol
_atom_site_fract_x
_atom_site_fract_y
_atom_site_fract_z
_atom_site_occupancy
Sr1 Sr 0.0000 0.0000 0.0000 1
Ga1 Ga 0.3784 0.3784 0.0000 1
Ga2 Ga 0.7511 0.2511 0.5000 1
Ge1 Ge 0.6177 0.6177 0.0000 1
Ir1 Ir 0.2454 0.7454 0.5000 1
```

=====

Sr2Ga3GeIr4 | GGA-PBE | relaxed

Results
* energy of formation: -550 meV/atom
* space group: P-4m2
* density of states at the Fermi level: 4.9 states/eV/cell
* mass density: 10.40 Mg/m³

The structure in CIF format:
```
data_Sr2Ga3GeIr4
_chemical_formula_sum 'Sr2 Ga3 Ge1 Ir4'
_symmetry_space_group_name_H-M 'P 1'
_symmetry_Int_Tables_number 1
_symmetry_space_group_name_Hall 'P 1'
_cell_length_a 4.3932
_cell_length_b 4.3932
_cell_length_c 10.1435
_cell_angle_alpha 90.00
_cell_angle_beta 90.00
_cell_angle_gamma 90.00
loop_
_atom_site_label
_atom_site_type_symbol
_atom_site_fract_x
_atom_site_fract_y
_atom_site_fract_z
_atom_site_occupancy
Sr1 Sr 0.0000 0.5000 0.2400 1
Sr2 Sr 0.5000 0.0000 0.7600 1
Ga1 Ga 0.0000 0.5000 0.8761 1
Ga2 Ga 0.5000 0.0000 0.1239 1
Ga3 Ga 0.5000 0.5000 0.5000 1
Ge1 Ge 0.0000 0.0000 0.5000 1
Ir1 Ir 0.0000 0.0000 0.0000 1
Ir2 Ir 0.0000 0.5000 0.6219 1
Ir3 Ir 0.5000 0.0000 0.3781 1
Ir4 Ir 0.5000 0.5000 0.0000 1
```

=====

TaGa2GeIr | GGA-PBE | relaxed

Results
* energy of formation: 1087 meV/atom
* space group: P4/mmm
* density of states at the Fermi level: 5.2 states/eV/cell
* mass density: 9.70 Mg/m³

The structure in CIF format:
```
data_TaGa2GeIr
_chemical_formula_sum 'Ta1 Ga2 Ge1 Ir1'
_symmetry_space_group_name_H-M 'P 1'
_symmetry_Int_Tables_number 1
_symmetry_space_group_name_Hall 'P 1'
_cell_length_a 4.7073
_cell_length_b 4.7073
_cell_length_c 4.5200
_cell_angle_alpha 90.00
_cell_angle_beta 90.00
_cell_angle_gamma 90.00
loop_
_atom_site_label
_atom_site_type_symbol
_atom_site_fract_x
_atom_site_fract_y
_atom_site_fract_z
_atom_site_occupancy
Ta1 Ta 0.0000 0.0000 0.0000 1
Ga1 Ga 0.0000 0.5000 0.5000 1
Ga2 Ga 0.5000 0.0000 0.5000 1
Ge1 Ge 0.5000 0.5000 0.5000 1
Ir1 Ir 0.5000 0.5000 0.0000 1
```

=====

Tb2Ga3GeIr4 | GGA-PBE | relaxed

Results
* energy of formation: -711 meV/atom
* space group: P-4m2
* density of states at the Fermi level: 5.8 states/eV/cell
* mass density: 12.33 Mg/m³

The structure in CIF format:
```
data_Tb2Ga3GeIr4
_chemical_formula_sum 'Tb2 Ga3 Ge1 Ir4'
_symmetry_space_group_name_H-M 'P 1'
_symmetry_Int_Tables_number 1
_symmetry_space_group_name_Hall 'P 1'
_cell_length_a 4.2877
_cell_length_b 4.2877
_cell_length_c 10.0282
_cell_angle_alpha 90.00
_cell_angle_beta 90.00
_cell_angle_gamma 90.00
loop_
_atom_site_label
_atom_site_type_symbol
_atom_site_fract_x
_atom_site_fract_y
_atom_site_fract_z
_atom_site_occupancy
Tb1 Tb 0.0000 0.5000 0.2350 1
Tb2 Tb 0.5000 0.0000 0.7650 1
Ga1 Ga 0.0000 0.5000 0.8717 1
Ga2 Ga 0.5000 0.0000 0.1283 1
Ga3 Ga 0.5000 0.5000 0.5000 1
Ge1 Ge 0.0000 0.0000 0.5000 1
Ir1 Ir 0.0000 0.0000 0.0000 1
Ir2 Ir 0.0000 0.5000 0.6275 1
Ir3 Ir 0.5000 0.0000 0.3725 1
Ir4 Ir 0.5000 0.5000 0.0000 1
```

=====

GaGeTe2Ir | GGA-PBE | relaxed

Results
* space group: P4/mmm
* density of states at the Fermi level: 3.2 states/eV/cell
* E_form (uncorrected): 1158 meV per atom
* mass density: 7.75 Mg/m³

The structure in CIF format:
```
data_GaGeTe2Ir
_chemical_formula_sum 'Ga1 Ge1 Te2 Ir1'
_symmetry_space_group_name_H-M 'P 1'
_symmetry_Int_Tables_number 1
_symmetry_space_group_name_Hall 'P 1'
_cell_length_a 5.2199
_cell_length_b 5.2199
_cell_length_c 4.6401
_cell_angle_alpha 90.00
_cell_angle_beta 90.00
_cell_angle_gamma 90.00
loop_
_atom_site_label
_atom_site_type_symbol
_atom_site_fract_x
_atom_site_fract_y
_atom_site_fract_z
_atom_site_occupancy
Ga1 Ga 0.0000 0.0000 0.0000 1
Ge1 Ge 0.0000 0.0000 0.5000 1
Te1 Te 0.0000 0.5000 0.0000 1
Te2 Te 0.5000 0.0000 0.0000 1
Ir1 Ir 0.5000 0.5000 0.5000 1
```